Crystalline CrRhI2O at its relaxed geometry, computed with PBE with a Hubbard U.

Output
* calculated total energy: -4.662 eV per atom

Cell lengths 5.681, 5.681, 3.755 Å; angles 90.00, 90.00, 90.00 degrees
Last column: magnetic moment on the atom in μB.
Positions (direct):
I 0.000 0.500 0.000  -0.04
I 0.500 0.000 0.000  -0.04
Cr 0.500 0.500 0.500  4.49
Rh 0.000 0.000 0.000  -0.02
O 0.000 0.000 0.500  0.00

***

Crystalline CrRhI2O at its relaxed geometry, computed with PBE with a Hubbard U.

Output
* calculated total energy: -4.244 eV per atom

Cell lengths 5.515, 5.515, 3.542 Å; angles 90.00, 90.00, 90.00 degrees
Last column: magnetic moment on the atom in μB.
Positions (direct):
I 0.000 0.500 0.000  -0.07
I 0.500 0.000 0.000  -0.07
Cr 0.000 0.000 0.000  0.04
Rh 0.500 0.500 0.500  -0.94
O 0.000 0.000 0.500  0.00

***

Crystalline CrRuI2O at its relaxed geometry, computed with PBE with a Hubbard U.

Output
* calculated total energy: -5.061 eV per atom

Cell lengths 5.616, 5.616, 3.751 Å; angles 90.00, 90.00, 90.00 degrees
Last column: magnetic moment on the atom in μB.
Positions (direct):
I 0.000 0.500 0.000  -0.03
I 0.500 0.000 0.000  -0.03
Ru 0.000 0.000 0.000  -0.26
O 0.000 0.000 0.500  -0.06
Cr 0.500 0.500 0.500  4.51

***

Crystalline CrRuI2O at its relaxed geometry, computed with PBE with a Hubbard U.

Output
* calculated total energy: -4.729 eV per atom

Cell lengths 5.691, 5.691, 3.652 Å; angles 90.00, 90.00, 90.00 degrees
Last column: magnetic moment on the atom in μB.
Positions (direct):
I 0.000 0.500 0.000  0.06
I 0.500 0.000 0.000  0.06
Ru 0.500 0.500 0.500  2.60
O 0.000 0.000 0.500  -0.28
Cr 0.000 0.000 0.000  3.29

***

Crystalline CrS2IO8 at its relaxed geometry, computed with PBE with a Hubbard U.

Output
* calculated total energy: -5.988 eV per atom

Cell lengths 5.109, 5.109, 9.008 Å; angles 101.27, 101.27, 61.20 degrees
Last column: magnetic moment on the atom in μB.
Positions (direct):
Cr 0.000 0.000 0.000  2.92
S 0.694 0.694 0.183  0.00
S 0.306 0.306 0.817  0.00
I 0.000 0.000 0.500  0.00
O 0.639 0.173 0.847  0.00
O 0.810 0.810 0.088  0.01
O 0.763 0.763 0.350  -0.01
O 0.237 0.237 0.650  -0.01
O 0.190 0.190 0.912  0.01
O 0.173 0.639 0.847  0.00
O 0.827 0.361 0.153  0.00
O 0.361 0.827 0.153  0.00

***

Crystalline ScCrI2O at its relaxed geometry, computed with PBE with a Hubbard U.

Output
* calculated total energy: -5.510 eV per atom

Cell lengths 5.943, 5.943, 3.895 Å; angles 90.00, 90.00, 90.00 degrees
Last column: magnetic moment on the atom in μB.
Positions (direct):
I 0.000 0.500 0.000  -0.01
I 0.500 0.000 0.000  -0.01
Cr 0.500 0.500 0.500  4.57
Sc 0.000 0.000 0.000  0.01
O 0.000 0.000 0.500  0.00

***

Crystalline ScCrI2O at its relaxed geometry, computed with PBE with a Hubbard U.

Output
* calculated total energy: -4.959 eV per atom

Cell lengths 5.786, 5.786, 3.733 Å; angles 90.00, 90.00, 90.00 degrees
Last column: magnetic moment on the atom in μB.
Positions (direct):
I 0.000 0.500 0.000  -0.02
I 0.500 0.000 0.000  -0.02
Cr 0.000 0.000 0.000  3.53
Sc 0.500 0.500 0.500  0.83
O 0.000 0.000 0.500  -0.20

***

Crystalline CrSeI2O at its relaxed geometry, computed with PBE with a Hubbard U.

Output
* calculated total energy: -3.726 eV per atom

Cell lengths 5.916, 5.916, 3.832 Å; angles 90.00, 90.00, 90.00 degrees
Last column: magnetic moment on the atom in μB.
Positions (direct):
I 0.000 0.500 0.000  -0.01
I 0.500 0.000 0.000  -0.01
Cr 0.500 0.500 0.500  4.56
O 0.000 0.000 0.500  0.01
Se 0.000 0.000 0.000  0.01